Record 1
Computed, not measured: ScHS2N after structural relaxation at the PBEsol level of DFT.

Geometry as CIF:
```
data_ScHS2N
_chemical_formula_sum 'Sc1 H1 S2 N1'
_cell_length_a 4.889
_cell_length_b 4.889
_cell_length_c 4.205
_cell_angle_alpha 90.00
_cell_angle_beta 90.00
_cell_angle_gamma 90.00
_space_group_name_H-M_alt 'P 4/m m m'
_space_group_IT_number 123
_space_group_name_Hall '-P 4 2'
loop_
_atom_site_label
_atom_site_type_symbol
_atom_site_fract_x
_atom_site_fract_y
_atom_site_fract_z
Sc1 Sc 0.000 0.000 0.000
H1 H 0.500 0.500 0.500
S1 S 0.000 0.500 0.000
N1 N 0.000 0.000 0.500
```

Summary:
Its uncorrected energy is -23.42 eV/cell. The spin magnetization comes out at 2.1 μB per cell.



Record 2
Computed, not measured: La2Ta after structural relaxation at the PBEsol level of DFT.

Geometry as CIF:
```
data_La2Ta
_chemical_formula_sum 'La2 Ta1'
_cell_length_a 3.2724
_cell_length_b 3.2724
_cell_length_c 8.1450
_cell_angle_alpha 90.00
_cell_angle_beta 90.00
_cell_angle_gamma 120.00
_space_group_name_H-M_alt 'P -3 m 1'
_space_group_IT_number 164
_space_group_name_Hall '-P 3 2"'
loop_
_atom_site_label
_atom_site_type_symbol
_atom_site_fract_x
_atom_site_fract_y
_atom_site_fract_z
La1 La 0.3333 0.6667 0.1803
Ta1 Ta 0.0000 0.0000 0.5000
```

Summary:
Its uncorrected energy is -21.78 eV/cell. The spin magnetization comes out at 0.0 μB per cell. The calculation puts the distance to the lowest polymorph of the same formula at 2.46 kcal/mol of atoms.



Record 3
Computed, not measured: Ti3O5 after structural relaxation at the PBEsol level of DFT.

Geometry as CIF:
```
data_Ti3O5
_chemical_formula_sum 'Ti12 O20'
_cell_length_a 10.076
_cell_length_b 5.006
_cell_length_c 7.180
_cell_angle_alpha 90.00
_cell_angle_beta 112.08
_cell_angle_gamma 90.00
_space_group_name_H-M_alt 'C 1 2/c 1'
_space_group_IT_number 15
loop_
_space_group_symop_operation_xyz
'x,y,z'
'-x,-y,-z'
'-x,y,-z+1/2'
'x,-y,z+1/2'
'x+1/2,y+1/2,z'
'-x+1/2,-y+1/2,-z'
'-x+1/2,y+1/2,-z+1/2'
'x+1/2,-y+1/2,z+1/2'
loop_
_atom_site_label
_atom_site_type_symbol
_atom_site_fract_x
_atom_site_fract_y
_atom_site_fract_z
Ti1 Ti 0.000 0.000 0.000
Ti2 Ti 0.127 0.488 0.217
O1 O 0.000 0.186 0.250
O2 O 0.082 0.342 0.941
O3 O 0.190 0.162 0.653
```

Summary:
Its uncorrected energy is -300.26 eV/cell. The spin magnetization comes out at 0.0 μB per cell. The calculation puts the formation energy from raw total energies at -23.85 eV per formula unit. The calculation puts the distance to the lowest polymorph of the same formula at 0.00 kcal/mol of atoms.



Record 4
Computed, not measured: NdGe3 after structural relaxation at the PBEsol level of DFT.

Geometry as CIF:
```
data_NdGe3
_chemical_formula_sum 'Nd1 Ge3'
_cell_length_a 4.329
_cell_length_b 4.329
_cell_length_c 4.329
_cell_angle_alpha 90.00
_cell_angle_beta 90.00
_cell_angle_gamma 90.00
_space_group_name_H-M_alt 'P m -3 m'
_space_group_IT_number 221
_space_group_name_Hall '-P 4 2 3'
loop_
_atom_site_label
_atom_site_type_symbol
_atom_site_fract_x
_atom_site_fract_y
_atom_site_fract_z
Nd1 Nd 0.000 0.000 0.000
Ge1 Ge 0.000 0.500 0.500
```

Summary:
Its uncorrected energy is -21.84 eV/cell. The spin magnetization comes out at 0.0 μB per cell.



Record 5
Computed, not measured: Sc3GaPt after structural relaxation at the PBEsol level of DFT.

Geometry as CIF:
```
data_Sc3GaPt
_chemical_formula_sum 'Sc3 Ga1 Pt1'
_cell_length_a 4.993
_cell_length_b 4.993
_cell_length_c 4.993
_cell_angle_alpha 90.00
_cell_angle_beta 90.00
_cell_angle_gamma 90.00
_space_group_name_H-M_alt 'P m -3 m'
_space_group_IT_number 221
_space_group_name_Hall '-P 4 2 3'
loop_
_atom_site_label
_atom_site_type_symbol
_atom_site_fract_x
_atom_site_fract_y
_atom_site_fract_z
Sc1 Sc 0.000 0.000 0.500
Ga1 Ga 0.500 0.500 0.500
Pt1 Pt 0.000 0.000 0.000
```

Summary:
Its uncorrected energy is -31.24 eV/cell. The spin magnetization comes out at 0.0 μB per cell.



Record 6
Computed, not measured: IrRuI2N after structural relaxation at the PBEsol level of DFT.

Geometry as CIF:
```
data_IrRuI2N
_chemical_formula_sum 'Ir1 Ru1 I2 N1'
_cell_length_a 5.481
_cell_length_b 5.481
_cell_length_c 3.641
_cell_angle_alpha 90.00
_cell_angle_beta 90.00
_cell_angle_gamma 90.00
_space_group_name_H-M_alt 'P 4/m m m'
_space_group_IT_number 123
_space_group_name_Hall '-P 4 2'
loop_
_atom_site_label
_atom_site_type_symbol
_atom_site_fract_x
_atom_site_fract_y
_atom_site_fract_z
Ir1 Ir 0.000 0.000 0.000
Ru1 Ru 0.500 0.500 0.500
I1 I 0.000 0.500 0.000
N1 N 0.000 0.000 0.500
```

Summary:
Its uncorrected energy is -26.71 eV/cell. The spin magnetization comes out at 2.9 μB per cell. The calculation puts the formation energy from raw total energies at 5.34 eV per formula unit.



Which formula does entry 2 have? La2Ta



Which value of uncorrected energy does entry 6 give? -26.71 eV/cell



Which value of spin magnetization does entry 4 give? 0.0 μB per cell



Which of these has the lowest uncorrected energy? Ti3O5